[1]
The following is a DFT calculation (GGA-PBE) of a geometry-optimized AcPrAl2Au2 structure.

Calculated values
**Fermi-level density of states**: 6.56 states/eV per cell
**Energy of formation from the pure elements**: -666 meV/atom
**Calculated total energy**: -4.49 eV/atom
**Space group**: P-3m1, No. 164

Cell lengths 4.660, 4.660, 7.985 Å; angles 90.00, 90.00, 120.00 degrees
Atoms (fractional coordinates):
Ac1 0.000 0.000 0.000
Pr1 0.000 0.000 0.500
Al1 0.333 0.667 0.718
Al2 0.667 0.333 0.282
Au1 0.333 0.667 0.273
Au2 0.667 0.333 0.727

***

[2]
The following is a DFT calculation (GGA-PBE) of a geometry-optimized AcPrAlAu structure.

Calculated values
**Fermi-level density of states**: 4.52 states/eV per cell
**Energy of formation from the pure elements**: -438 meV/atom
**Calculated total energy**: -4.41 eV/atom
**Space group**: F-43m, No. 216

Cell lengths 5.473, 5.473, 5.473 Å; angles 60.00, 60.00, 60.00 degrees
Atoms (fractional coordinates):
Ac1 0.000 0.000 0.000
Pr1 0.500 0.500 0.500
Al1 0.250 0.250 0.250
Au1 0.750 0.750 0.750

***

[3]
The following is a DFT calculation (GGA-PBE) of a geometry-optimized Ac2Al4PtAu3 structure.

Calculated values
**Fermi-level density of states**: 6.33 states/eV per cell
**Energy of formation from the pure elements**: -810 meV/atom
**Calculated total energy**: -4.72 eV/atom
**Space group**: P-4m2, No. 115

Cell lengths 4.550, 4.550, 10.505 Å; angles 90.00, 90.00, 90.00 degrees
Atoms (fractional coordinates):
Ac1 0.000 0.500 0.245
Ac2 0.500 0.000 0.755
Al1 0.000 0.000 0.500
Al2 0.000 0.500 0.881
Al3 0.500 0.000 0.119
Al4 0.500 0.500 0.500
Pt1 0.500 0.500 0.000
Au1 0.000 0.000 0.000
Au2 0.000 0.500 0.632
Au3 0.500 0.000 0.368

***

[4]
The following is a DFT calculation (GGA-PBE) of a geometry-optimized Ac2Al12Pt3Au structure.

Calculated values
**Fermi-level density of states**: 9.84 states/eV per cell
**Energy of formation from the pure elements**: -213 meV/atom
**Calculated total energy**: -4.35 eV/atom
**Space group**: R-3m, No. 166

Cell lengths 8.057, 8.057, 8.057 Å; angles 69.22, 69.22, 69.22 degrees
Atoms (fractional coordinates):
Ac1 0.102 0.102 0.102
Ac2 0.898 0.898 0.898
Al1 0.143 0.631 0.631
Al2 0.245 0.245 0.627
Al3 0.245 0.627 0.245
Al4 0.369 0.369 0.857
Al5 0.369 0.857 0.369
Al6 0.373 0.755 0.755
Al7 0.627 0.245 0.245
Al8 0.631 0.143 0.631
Al9 0.631 0.631 0.143
Al10 0.755 0.373 0.755
Al11 0.755 0.755 0.373
Al12 0.857 0.369 0.369
Pt1 0.000 0.500 0.500
Pt2 0.500 0.000 0.500
Pt3 0.500 0.500 0.000
Au1 0.500 0.500 0.500

***

[5]
The following is a DFT calculation (GGA-PBE) of a geometry-optimized Ac2PuAl3Au12 structure.

Calculated values
**Fermi-level density of states**: 15.31 states/eV per cell
**Energy of formation from the pure elements**: -322 meV/atom
**Calculated total energy**: -4.38 eV/atom
**Space group**: R-3m, No. 166

Cell lengths 10.984, 10.984, 10.984 Å; angles 36.81, 36.81, 36.81 degrees
Atoms (fractional coordinates):
Ac1 0.138 0.138 0.138
Ac2 0.862 0.862 0.862
Pu1 0.500 0.500 0.500
Al1 0.000 0.500 0.500
Al2 0.500 0.000 0.500
Al3 0.500 0.500 0.000
Au1 0.065 0.627 0.627
Au2 0.096 0.096 0.682
Au3 0.096 0.682 0.096
Au4 0.318 0.904 0.904
Au5 0.373 0.373 0.935
Au6 0.373 0.935 0.373
Au7 0.627 0.065 0.627
Au8 0.627 0.627 0.065
Au9 0.682 0.096 0.096
Au10 0.904 0.318 0.904
Au11 0.904 0.904 0.318
Au12 0.935 0.373 0.373

***

[6]
The following is a DFT calculation (GGA-PBE) of a geometry-optimized Ac2Al4RhAu3 structure.

Calculated values
**Fermi-level density of states**: 6.35 states/eV per cell
**Energy of formation from the pure elements**: -748 meV/atom
**Calculated total energy**: -4.79 eV/atom
**Space group**: P-4m2, No. 115

Cell lengths 4.503, 4.503, 10.609 Å; angles 90.00, 90.00, 90.00 degrees
Atoms (fractional coordinates):
Ac1 0.000 0.500 0.246
Ac2 0.500 0.000 0.754
Al1 0.000 0.000 0.500
Al2 0.000 0.500 0.882
Al3 0.500 0.000 0.118
Al4 0.500 0.500 0.500
Rh1 0.500 0.500 0.000
Au1 0.000 0.000 0.000
Au2 0.000 0.500 0.633
Au3 0.500 0.000 0.367

***

[7]
The following is a DFT calculation (GGA-PBE) of a geometry-optimized Ac2AlSbAu6 structure.

Calculated values
**Fermi-level density of states**: 3.71 states/eV per cell
**Calculated total energy**: -4.16 eV/atom
**Uncorrected formation energy**: -5.86 eV/f.u.
**Space group**: P-1, No. 2

Cell lengths 5.554, 7.127, 7.365 Å; angles 79.49, 67.92, 67.07 degrees
Atoms (fractional coordinates):
Ac1 0.237 0.237 0.288
Ac2 0.763 0.763 0.712
Al1 0.000 0.000 0.000
Sb1 0.500 0.500 0.500
Au1 0.225 0.796 0.253
Au2 0.245 0.596 0.916
Au3 0.274 0.204 0.749
Au4 0.726 0.796 0.251
Au5 0.755 0.404 0.084
Au6 0.775 0.204 0.747

***

[8]
The following is a DFT calculation (GGA-PBE) of a geometry-optimized Ac2Al4SbAu3 structure.

Calculated values
**Fermi-level density of states**: 4.95 states/eV per cell
**Calculated total energy**: -4.38 eV/atom
**Uncorrected formation energy**: -6.66 eV/f.u.
**Space group**: P-4m2, No. 115

Cell lengths 4.611, 4.611, 10.747 Å; angles 90.00, 90.00, 90.00 degrees
Atoms (fractional coordinates):
Ac1 0.000 0.500 0.245
Ac2 0.500 0.000 0.755
Al1 0.000 0.000 0.000
Al2 0.000 0.500 0.642
Al3 0.500 0.000 0.358
Al4 0.500 0.500 0.000
Sb1 0.000 0.000 0.500
Au1 0.000 0.500 0.878
Au2 0.500 0.000 0.122
Au3 0.500 0.500 0.500

***

[9]
The following is a DFT calculation (GGA-PBE) of a geometry-optimized Ac2AlSb2Au4 structure.

Calculated values
**Fermi-level density of states**: 4.67 states/eV per cell
**Calculated total energy**: -4.36 eV/atom
**Uncorrected formation energy**: -5.97 eV/f.u.
**Space group**: I4/mmm, No. 139

Cell lengths 6.905, 6.905, 6.905 Å; angles 121.33, 121.33, 87.71 degrees
Atoms (fractional coordinates):
Ac1 0.250 0.750 0.500
Ac2 0.750 0.250 0.500
Al1 0.000 0.000 0.000
Sb1 0.306 0.306 0.000
Sb2 0.694 0.694 0.000
Au1 0.265 0.265 0.529
Au2 0.265 0.735 0.000
Au3 0.735 0.265 0.000
Au4 0.735 0.735 0.471

***

[10]
The following is a DFT calculation (GGA-PBE) of a geometry-optimized AcScAlAu structure.

Calculated values
**Fermi-level density of states**: 4.10 states/eV per cell
**Energy of formation from the pure elements**: -375 meV/atom
**Calculated total energy**: -4.74 eV/atom
**Space group**: F-43m, No. 216

Cell lengths 5.263, 5.263, 5.263 Å; angles 60.00, 60.00, 60.00 degrees
Atoms (fractional coordinates):
Ac1 0.000 0.000 0.000
Sc1 0.500 0.500 0.500
Al1 0.750 0.750 0.750
Au1 0.250 0.250 0.250

***

[11]
The following is a DFT calculation (GGA-PBE) of a geometry-optimized AcScAl2Au2 structure.

Calculated values
**Fermi-level density of states**: 3.71 states/eV per cell
**Energy of formation from the pure elements**: -741 meV/atom
**Calculated total energy**: -4.82 eV/atom
**Space group**: P-3m1, No. 164

Cell lengths 4.542, 4.542, 7.584 Å; angles 90.00, 90.00, 120.00 degrees
Atoms (fractional coordinates):
Ac1 0.000 0.000 0.000
Sc1 0.000 0.000 0.500
Al1 0.333 0.667 0.687
Al2 0.667 0.333 0.313
Au1 0.333 0.667 0.305
Au2 0.667 0.333 0.695

***

[12]
The following is a DFT calculation (GGA-PBE) of a geometry-optimized AcSc2AlAu4 structure.

Calculated values
**Fermi-level density of states**: 4.54 states/eV per cell
**Energy of formation from the pure elements**: -721 meV/atom
**Calculated total energy**: -4.92 eV/atom
**Space group**: R-3m, No. 166

Cell lengths 9.839, 9.839, 9.839 Å; angles 27.43, 27.43, 27.43 degrees
Atoms (fractional coordinates):
Ac1 0.000 0.000 0.000
Sc1 0.232 0.232 0.232
Sc2 0.768 0.768 0.768
Al1 0.500 0.500 0.500
Au1 0.128 0.128 0.128
Au2 0.403 0.403 0.403
Au3 0.597 0.597 0.597
Au4 0.872 0.872 0.872

***

[13]
The following is a DFT calculation (GGA-PBE) of a geometry-optimized Ac2Al3SiAu4 structure.

Calculated values
**Fermi-level density of states**: 6.54 states/eV per cell
**Calculated total energy**: -4.48 eV/atom
**Uncorrected formation energy**: -6.85 eV/f.u.
**Space group**: P-4m2, No. 115

Cell lengths 4.569, 4.569, 10.446 Å; angles 90.00, 90.00, 90.00 degrees
Atoms (fractional coordinates):
Ac1 0.000 0.500 0.247
Ac2 0.500 0.000 0.753
Al1 0.000 0.000 0.000
Al2 0.000 0.500 0.627
Al3 0.500 0.000 0.373
Si1 0.500 0.500 0.000
Au1 0.000 0.000 0.500
Au2 0.000 0.500 0.877
Au3 0.500 0.000 0.123
Au4 0.500 0.500 0.500

***

[14]
The following is a DFT calculation (GGA-PBE) of a geometry-optimized Ac2Al4Si3Au structure.

Calculated values
**Fermi-level density of states**: 2.69 states/eV per cell
**Calculated total energy**: -4.68 eV/atom
**Uncorrected formation energy**: -4.06 eV/f.u.
**Space group**: P-4m2, No. 115

Cell lengths 4.639, 4.639, 9.929 Å; angles 90.00, 90.00, 90.00 degrees
Atoms (fractional coordinates):
Ac1 0.000 0.500 0.246
Ac2 0.500 0.000 0.754
Al1 0.000 0.000 0.500
Al2 0.000 0.500 0.877
Al3 0.500 0.000 0.123
Al4 0.500 0.500 0.500
Si1 0.000 0.000 0.000
Si2 0.000 0.500 0.619
Si3 0.500 0.000 0.381
Au1 0.500 0.500 0.000

***

[15]
The following is a DFT calculation (GGA-PBE) of a geometry-optimized Ac2AlSi3Au4 structure.

Calculated values
**Fermi-level density of states**: 3.89 states/eV per cell
**Calculated total energy**: -4.78 eV/atom
**Uncorrected formation energy**: -6.44 eV/f.u.
**Space group**: P-4m2, No. 115

Cell lengths 4.468, 4.468, 10.582 Å; angles 90.00, 90.00, 90.00 degrees
Atoms (fractional coordinates):
Ac1 0.000 0.500 0.245
Ac2 0.500 0.000 0.755
Al1 0.000 0.000 0.500
Si1 0.000 0.500 0.869
Si2 0.500 0.000 0.131
Si3 0.500 0.500 0.500
Au1 0.000 0.000 0.000
Au2 0.000 0.500 0.628
Au3 0.500 0.000 0.372
Au4 0.500 0.500 0.000

***

[16]
The following is a DFT calculation (GGA-PBE) of a geometry-optimized Ac2SmAl4Au3 structure.

Calculated values
**Fermi-level density of states**: 7.36 states/eV per cell
**Energy of formation from the pure elements**: -592 meV/atom
**Calculated total energy**: -4.37 eV/atom
**Space group**: P-4m2, No. 115

Cell lengths 4.515, 4.515, 11.837 Å; angles 90.00, 90.00, 90.00 degrees
Atoms (fractional coordinates):
Ac1 0.000 0.500 0.233
Ac2 0.500 0.000 0.767
Sm1 0.000 0.000 0.500
Al1 0.000 0.000 0.000
Al2 0.000 0.500 0.666
Al3 0.500 0.000 0.334
Al4 0.500 0.500 0.000
Au1 0.000 0.500 0.884
Au2 0.500 0.000 0.116
Au3 0.500 0.500 0.500

***

[17]
The following is a DFT calculation (GGA-PBE) of a geometry-optimized Ac3Al2SnAu6 structure.

Calculated values
**Fermi-level density of states**: 7.30 states/eV per cell
**Energy of formation from the pure elements**: -521 meV/atom
**Calculated total energy**: -4.14 eV/atom
**Space group**: P-3m1, No. 164

Cell lengths 6.504, 6.504, 8.705 Å; angles 90.00, 90.00, 120.00 degrees
Atoms (fractional coordinates):
Ac1 0.000 0.000 0.000
Ac2 0.333 0.667 0.643
Ac3 0.667 0.333 0.357
Al1 0.333 0.667 0.048
Al2 0.667 0.333 0.952
Sn1 0.000 0.000 0.500
Au1 0.183 0.366 0.279
Au2 0.183 0.817 0.279
Au3 0.366 0.183 0.721
Au4 0.634 0.817 0.279
Au5 0.817 0.183 0.721
Au6 0.817 0.634 0.721

***

[18]
The following is a DFT calculation (GGA-PBE) of a geometry-optimized Ac2AlSnAu6 structure.

Calculated values
**Fermi-level density of states**: 5.32 states/eV per cell
**Energy of formation from the pure elements**: -573 meV/atom
**Calculated total energy**: -4.14 eV/atom
**Space group**: P-1, No. 2

Cell lengths 5.655, 7.185, 7.235 Å; angles 83.77, 67.04, 66.87 degrees
Atoms (fractional coordinates):
Ac1 0.031 0.226 0.214
Ac2 0.969 0.774 0.786
Al1 0.500 0.000 0.500
Sn1 0.500 0.500 0.000
Au1 0.017 0.215 0.752
Au2 0.350 0.394 0.410
Au3 0.482 0.788 0.247
Au4 0.518 0.212 0.753
Au5 0.650 0.606 0.590
Au6 0.983 0.785 0.248

***

[19]
The following is a DFT calculation (GGA-PBE) of a geometry-optimized Ac2AlSn3Au4 structure.

Calculated values
**Fermi-level density of states**: 4.50 states/eV per cell
**Energy of formation from the pure elements**: -651 meV/atom
**Calculated total energy**: -4.36 eV/atom
**Space group**: P-4m2, No. 115

Cell lengths 4.717, 4.717, 11.175 Å; angles 90.00, 90.00, 90.00 degrees
Atoms (fractional coordinates):
Ac1 0.000 0.500 0.245
Ac2 0.500 0.000 0.755
Al1 0.000 0.000 0.500
Sn1 0.000 0.500 0.867
Sn2 0.500 0.000 0.133
Sn3 0.500 0.500 0.500
Au1 0.000 0.000 0.000
Au2 0.000 0.500 0.623
Au3 0.500 0.000 0.377
Au4 0.500 0.500 0.000

***

[20]
The following is a DFT calculation (GGA-PBE) of a geometry-optimized AcAlSnAu2 structure.

Calculated values
**Fermi-level density of states**: 2.19 states/eV per cell
**Energy of formation from the pure elements**: -649 meV/atom
**Calculated total energy**: -4.33 eV/atom
**Space group**: I-4m2, No. 119

Cell lengths 6.799, 6.799, 6.799 Å; angles 141.63, 141.63, 55.38 degrees
Atoms (fractional coordinates):
Ac1 0.000 0.000 0.000
Al1 0.750 0.250 0.500
Sn1 0.250 0.750 0.500
Au1 0.384 0.384 0.000
Au2 0.616 0.616 0.000

***

[21]
The following is a DFT calculation (GGA-PBE) of a geometry-optimized Ac2AlSn4Au3 structure.

Calculated values
**Fermi-level density of states**: 4.21 states/eV per cell
**Energy of formation from the pure elements**: -557 meV/atom
**Calculated total energy**: -4.34 eV/atom
**Space group**: P-4m2, No. 115

Cell lengths 4.722, 4.722, 11.586 Å; angles 90.00, 90.00, 90.00 degrees
Atoms (fractional coordinates):
Ac1 0.000 0.500 0.245
Ac2 0.500 0.000 0.755
Al1 0.500 0.500 0.000
Sn1 0.000 0.000 0.500
Sn2 0.000 0.500 0.870
Sn3 0.500 0.000 0.130
Sn4 0.500 0.500 0.500
Au1 0.000 0.000 0.000
Au2 0.000 0.500 0.639
Au3 0.500 0.000 0.361

***

[22]
The following is a DFT calculation (GGA-PBE) of a geometry-optimized Ac2TbAl4Au3 structure.

Calculated values
**Fermi-level density of states**: 6.86 states/eV per cell
**Energy of formation from the pure elements**: -607 meV/atom
**Calculated total energy**: -4.37 eV/atom
**Space group**: P-4m2, No. 115

Cell lengths 4.496, 4.496, 11.812 Å; angles 90.00, 90.00, 90.00 degrees
Atoms (fractional coordinates):
Ac1 0.000 0.500 0.234
Ac2 0.500 0.000 0.766
Tb1 0.000 0.000 0.500
Al1 0.000 0.000 0.000
Al2 0.000 0.500 0.664
Al3 0.500 0.000 0.336
Al4 0.500 0.500 0.000
Au1 0.000 0.500 0.882
Au2 0.500 0.000 0.118
Au3 0.500 0.500 0.500

***

[23]
The following is a DFT calculation (GGA-PBE) of a geometry-optimized AcTb2AlAu4 structure.

Calculated values
**Fermi-level density of states**: 3.74 states/eV per cell
**Energy of formation from the pure elements**: -737 meV/atom
**Calculated total energy**: -4.51 eV/atom
**Space group**: R-3m, No. 166

Cell lengths 9.510, 9.510, 9.510 Å; angles 30.53, 30.53, 30.53 degrees
Atoms (fractional coordinates):
Ac1 0.000 0.000 0.000
Tb1 0.229 0.229 0.229
Tb2 0.771 0.771 0.771
Al1 0.500 0.500 0.500
Au1 0.120 0.120 0.120
Au2 0.401 0.401 0.401
Au3 0.599 0.599 0.599
Au4 0.880 0.880 0.880

***

| no. | magnetization (μB/atom) |
| --- | --- |
| 1 | 0.00 |
| 2 | 0.00 |
| 3 | 0.00 |
| 4 | 0.00 |
| 5 | 0.28 |
| 6 | 0.00 |
| 7 | 0.00 |
| 8 | 0.00 |
| 9 | 0.00 |
| 10 | 0.00 |
| 11 | 0.00 |
| 12 | 0.00 |
| 13 | 0.00 |
| 14 | 0.00 |
| 15 | 0.00 |
| 16 | 0.00 |
| 17 | 0.00 |
| 18 | 0.00 |
| 19 | 0.00 |
| 20 | 0.00 |
| 21 | 0.00 |
| 22 | 0.00 |
| 23 | 0.00 |